# Mg2Fe2Ru PBE-GGA relaxed
# magnetic moment: 0.236 μB/atom
# energy above the most stable polymorph in this dataset: 0.000 eV per atom
# DFT total energy: -55.91 eV per cell
# DOS(E_F): 17.50 states/eV per cell
data_Mg2Fe2Ru
_chemical_formula_sum 'Mg4 Fe4 Ru2'
_cell_length_a 5.971
_cell_length_b 5.971
_cell_length_c 4.259
_cell_angle_alpha 90.00
_cell_angle_beta 90.00
_cell_angle_gamma 90.00
_symmetry_space_group_name_H-M 'P 4/m b m'
_symmetry_Int_Tables_number 127
_symmetry_space_group_name_Hall '-P 4 2ab'
loop_
_atom_site_label
_atom_site_fract_x
_atom_site_fract_y
_atom_site_fract_z
Mg1 0.180 0.320 0.000
Fe1 0.123 0.623 0.500
Ru1 0.000 0.000 0.500

=====

# MgFeRu2 PBE-GGA relaxed
# magnetic moment: 0.755 μB/atom
# DFT total energy: -110.69 eV per cell
# DOS(E_F): 17.07 states/eV per cell
data_MgFeRu2
_chemical_formula_sum 'Mg4 Fe4 Ru8'
_cell_length_a 6.100
_cell_length_b 6.100
_cell_length_c 6.100
_cell_angle_alpha 90.00
_cell_angle_beta 90.00
_cell_angle_gamma 90.00
_symmetry_space_group_name_H-M 'F -4 3 m'
_symmetry_Int_Tables_number 216
_symmetry_space_group_name_Hall 'F -4 2 3'
loop_
_atom_site_label
_atom_site_fract_x
_atom_site_fract_y
_atom_site_fract_z
Mg1 0.000 0.000 0.000
Fe1 0.250 0.250 0.750
Ru1 0.000 0.000 0.500
Ru2 0.250 0.250 0.250

=====

# MgFeRu2 PBE-GGA relaxed
# magnetic moment: 0.717 μB/atom
# DFT total energy: -27.99 eV per cell
# DOS(E_F): 4.28 states/eV per cell
data_MgFeRu2
_chemical_formula_sum 'Mg1 Fe1 Ru2'
_cell_length_a 4.258
_cell_length_b 4.258
_cell_length_c 3.058
_cell_angle_alpha 90.00
_cell_angle_beta 90.00
_cell_angle_gamma 90.00
_symmetry_space_group_name_H-M 'P 4/m m m'
_symmetry_Int_Tables_number 123
_symmetry_space_group_name_Hall '-P 4 2'
loop_
_atom_site_label
_atom_site_fract_x
_atom_site_fract_y
_atom_site_fract_z
Mg1 0.000 0.000 0.000
Fe1 0.500 0.500 0.000
Ru1 0.000 0.500 0.500

=====

# MgFeRu2 PBE-GGA relaxed
# magnetic moment: 0.687 μB/atom
# DFT total energy: -55.99 eV per cell
# DOS(E_F): 7.91 states/eV per cell
data_MgFeRu2
_chemical_formula_sum 'Mg2 Fe2 Ru4'
_cell_length_a 2.854
_cell_length_b 4.497
_cell_length_c 8.960
_cell_angle_alpha 90.00
_cell_angle_beta 90.00
_cell_angle_gamma 90.00
_symmetry_space_group_name_H-M 'I m m m'
_symmetry_Int_Tables_number 71
_symmetry_space_group_name_Hall '-I 2 2'
loop_
_atom_site_label
_atom_site_fract_x
_atom_site_fract_y
_atom_site_fract_z
Mg1 0.000 0.000 0.000
Fe1 0.000 0.000 0.500
Ru1 0.000 0.500 0.223

=====

# Mg2FeRu PBE-GGA relaxed
# magnetic moment: 0.747 μB/atom
# energy above the most stable polymorph in this dataset: 0.094 eV per atom
# DFT total energy: -20.33 eV per cell
# DOS(E_F): 2.51 states/eV per cell
data_Mg2FeRu
_chemical_formula_sum 'Mg2 Fe1 Ru1'
_cell_length_a 3.396
_cell_length_b 4.225
_cell_length_c 4.261
_cell_angle_alpha 90.00
_cell_angle_beta 90.00
_cell_angle_gamma 90.00
_symmetry_space_group_name_H-M 'P m m m'
_symmetry_Int_Tables_number 47
loop_
_symmetry_equiv_pos_as_xyz
'x,y,z'
'-x,-y,-z'
'-x,-y,z'
'x,y,-z'
'x,-y,-z'
'-x,y,z'
'-x,y,-z'
'x,-y,z'
loop_
_atom_site_label
_atom_site_fract_x
_atom_site_fract_y
_atom_site_fract_z
Mg1 0.000 0.000 0.000
Mg2 0.500 0.500 0.000
Fe1 0.000 0.500 0.500
Ru1 0.500 0.000 0.500

=====

# Mg2FeRu PBE-GGA relaxed
# magnetic moment: 0.786 μB/atom
# energy above the most stable polymorph in this dataset: 0.183 eV per atom
# DFT total energy: -79.88 eV per cell
# DOS(E_F): 21.47 states/eV per cell
data_Mg2FeRu
_chemical_formula_sum 'Mg8 Fe4 Ru4'
_cell_length_a 6.267
_cell_length_b 6.267
_cell_length_c 6.267
_cell_angle_alpha 90.00
_cell_angle_beta 90.00
_cell_angle_gamma 90.00
_symmetry_space_group_name_H-M 'F m -3 m'
_symmetry_Int_Tables_number 225
_symmetry_space_group_name_Hall '-F 4 2 3'
loop_
_atom_site_label
_atom_site_fract_x
_atom_site_fract_y
_atom_site_fract_z
Mg1 0.250 0.250 0.250
Fe1 0.000 0.000 0.000
Ru1 0.000 0.000 0.500

=====

# Mg2FeRu PBE-GGA relaxed
# magnetic moment: 0.750 μB/atom
# energy above the most stable polymorph in this dataset: 0.059 eV per atom
# DFT total energy: -40.94 eV per cell
# DOS(E_F): 5.84 states/eV per cell
data_Mg2FeRu
_chemical_formula_sum 'Mg4 Fe2 Ru2'
_cell_length_a 3.141
_cell_length_b 4.518
_cell_length_c 8.964
_cell_angle_alpha 90.00
_cell_angle_beta 90.00
_cell_angle_gamma 90.00
_symmetry_space_group_name_H-M 'I m m 2'
_symmetry_Int_Tables_number 44
loop_
_symmetry_equiv_pos_as_xyz
'x,y,z'
'-x,-y,z'
'-x,y,z'
'x,-y,z'
'x+1/2,y+1/2,z+1/2'
'-x+1/2,-y+1/2,z+1/2'
'-x+1/2,y+1/2,z+1/2'
'x+1/2,-y+1/2,z+1/2'
loop_
_atom_site_label
_atom_site_fract_x
_atom_site_fract_y
_atom_site_fract_z
Mg1 0.000 0.000 0.000
Mg2 0.000 0.500 0.223
Fe1 0.000 0.000 0.463
Ru1 0.000 0.500 0.759

=====

# MgFe4Ru PBE-GGA relaxed
# magnetic moment: 1.565 μB/atom
# DFT total energy: -176.78 eV per cell
# DOS(E_F): 21.60 states/eV per cell
data_MgFe4Ru
_chemical_formula_sum 'Mg4 Fe16 Ru4'
_cell_length_a 6.763
_cell_length_b 6.763
_cell_length_c 6.763
_cell_angle_alpha 90.00
_cell_angle_beta 90.00
_cell_angle_gamma 90.00
_symmetry_space_group_name_H-M 'F -4 3 m'
_symmetry_Int_Tables_number 216
_symmetry_space_group_name_Hall 'F -4 2 3'
loop_
_atom_site_label
_atom_site_fract_x
_atom_site_fract_y
_atom_site_fract_z
Mg1 0.000 0.000 0.000
Fe1 0.125 0.125 0.625
Ru1 0.250 0.250 0.250